No. 1
Material: InCSeN
Method: DFT, PBE
State: optimized geometry

Summary:
Offset from the most stable computed form = 0 meV/atom
Formation energy from raw total energies = 48 kJ/mol of formula units
Space-group type = P3m1
N(E_F) = 0.00 states/eV/cell
Calculated total energy = -5.819 eV per atom
Size of the total moment = 0.00 μB per formula unit

Cell: 7.989 4.173 4.174 Å, 119.99 74.86 121.53°
Fractional coordinates of all 4 atoms:
C 0.038 0.132 0.878
N 0.866 0.961 0.879
Se 0.516 0.945 0.544
In 0.356 0.450 0.877

No. 2
Material: InSiCN
Method: DFT, PBE
State: optimized geometry

Summary:
Formation energy from raw total energies = -15 kJ/mol of formula units
Space-group type = Pmn2_1
N(E_F) = 0.00 states/eV/cell
Calculated total energy = -6.467 eV per atom
Size of the total moment = 0.00 μB per formula unit

Cell: 3.263 5.355 5.850 Å, 90.00 90.00 90.00°
Fractional coordinates of all 8 atoms:
In 0.500 0.505 0.604
In 0.000 0.005 0.396
Si 0.500 0.994 0.917
Si 0.000 0.494 0.083
C 0.500 0.351 0.957
C 0.000 0.851 0.043
N 0.500 0.914 0.623
N 0.000 0.414 0.377

No. 3
Material: Sm6In2CN
Method: DFT, PBE
State: optimized geometry

Summary:
Formation energy from raw total energies = -635 kJ/mol of formula units
Space-group type = Fm-3m
N(E_F) = 6.45 states/eV/cell
Calculated total energy = -5.793 eV per atom
Size of the total moment = 0.00 μB per formula unit

Cell: 7.091 7.091 10.029 Å, 90.00 90.00 90.00°
Fractional coordinates of all 20 atoms:
Sm 0.500 0.250 0.249
Sm 0.500 0.250 0.751
Sm 0.000 0.750 0.251
Sm 0.000 0.750 0.749
Sm 0.249 0.999 0.500
Sm 0.751 0.999 0.500
Sm 0.249 0.501 0.500
Sm 0.751 0.501 0.500
Sm 0.749 0.499 0.000
Sm 0.251 0.499 0.000
Sm 0.251 0.001 0.000
Sm 0.749 0.001 0.000
In 0.500 0.750 0.250
In 0.000 0.250 0.750
In 0.500 0.750 0.750
In 0.000 0.250 0.250
C 0.500 0.250 0.500
C 0.000 0.750 0.000
N 0.000 0.750 0.500
N 0.500 0.250 0.000